(i)
Below is a relaxed CaZr3Al crystal, with properties calculated at the GGA-PBE level. Values from VASP.

- Total magnetic moment: 0.844 μB/cell
- SG: Pm-3m
- DOS(E_F): 1.51 states/eV/atom

Geometry as Quantum ESPRESSO input:
```
&SYSTEM
  ibrav = 0, nat = 5, ntyp = 3
/
ATOMIC_SPECIES
Al 26.98 Al.upf
Ca 40.08 Ca.upf
Zr 91.22 Zr.upf
ATOMIC_POSITIONS angstrom
Al 2.510 2.510 2.510
Ca 0.000 0.000 0.000
Zr 0.000 0.000 2.510
Zr 2.510 0.000 0.000
Zr 0.000 2.510 0.000
CELL_PARAMETERS angstrom
5.020 0.000 0.000
0.000 5.020 0.000
0.000 0.000 5.020
```

---

(ii)
Below is a relaxed CaZr3Al crystal, with properties calculated at the GGA-PBE level. Values from VASP.

- Total magnetic moment: 0.000 μB/cell
- SG: Pm-3m
- DOS(E_F): 2.37 states/eV/atom

Geometry as Quantum ESPRESSO input:
```
&SYSTEM
  ibrav = 0, nat = 5, ntyp = 3
/
ATOMIC_SPECIES
Zr 91.22 Zr.upf
Al 26.98 Al.upf
Ca 40.08 Ca.upf
ATOMIC_POSITIONS angstrom
Zr 2.597 0.000 0.000
Zr 0.000 2.597 0.000
Zr 0.000 0.000 2.597
Al 0.000 0.000 0.000
Ca 2.597 2.597 2.597
CELL_PARAMETERS angstrom
5.194 0.000 0.000
0.000 5.194 0.000
0.000 0.000 5.194
```

---

Energies relative to the most stable structure, in kJ/mol of atoms: (i) 98.0; (ii) 0.0.